1.
A relaxed CsZnHg2Ge crystal. Source: Alexandria, functional PBE.

As for the formation energy: 0.064 eV/atom. Its space-group type is P4/mmm, No. 123.

The structure in POSCAR format:
```
CsZnHg2Ge
1.0
5.698 0.000 0.000
0.000 5.698 0.000
0.000 0.000 4.900
Cs Zn Ge Hg
1 1 1 2
Cartesian
2.849 2.849 2.450
0.000 0.000 0.000
0.000 0.000 2.450
0.000 2.849 0.000
2.849 0.000 0.000
```

=====

2.
A relaxed TaVGe4 crystal. Source: Alexandria, functional PBE.

As for the formation energy: -0.145 eV/atom. Its space-group type is C2/m, No. 12.

The structure in POSCAR format:
```
TaVGe4
1.0
-2.135 2.212 -1.316
0.526 -3.781 -2.961
-4.430 -1.420 4.802
Ta V Ge
1 1 4
Cartesian
-3.019 -1.494 0.263
-0.804 -0.785 -2.138
-1.341 -3.219 -1.110
-4.697 0.230 1.636
-2.408 0.953 -0.864
-3.630 -3.942 1.390
```

=====

3.
A relaxed NaNbSe2 crystal. Source: Alexandria, functional PBE.

The calculation puts the final energy at -20.3 eV per formula unit. Its space-group type is Fm-3m, No. 225.

The structure in POSCAR format:
```
NaNbSe2
1.0
-0.776 -2.405 4.057
-4.081 0.629 2.409
-3.265 -3.489 0.123
Na Nb Se
1 1 2
Cartesian
0.000 0.000 0.000
-4.061 -2.632 3.295
-2.030 -1.316 1.647
-6.091 -3.949 4.942
```

=====

4.
A relaxed Ba3Tb12Tl5 crystal. Source: Alexandria, functional PBE.

As for the formation energy: 0.544 eV/atom. Its space-group type is Ia-3d, No. 230.

The structure in POSCAR format:
```
Ba3Tb12Tl5
1.0
-8.994 11.651 8.342
-6.191 -1.766 -15.646
-0.985 -14.790 8.157
Ba Tl Tb
12 20 48
Cartesian
-9.190 6.228 1.409
-12.636 7.022 -3.415
-8.632 -6.199 -3.508
-3.392 -2.854 3.189
-8.890 6.277 7.383
-7.488 -0.432 -4.611
-8.681 -4.472 5.465
-7.280 -11.181 -6.529
-12.778 -2.050 -2.335
-7.538 1.295 4.362
-3.534 -11.926 4.269
-6.980 -11.132 -0.556
-3.692 -2.903 -2.785
-3.096 -0.883 -7.823
0.000 0.000 0.000
-5.044 2.079 0.237
-4.989 -1.569 8.250
-7.593 4.943 -3.652
-6.137 -5.414 -7.633
-8.381 -4.423 11.439
-10.984 2.089 -0.463
-4.885 -6.944 7.291
-11.285 2.040 -6.437
-8.085 -2.452 0.427
-4.497 5.826 4.171
-0.492 -7.395 4.079
-5.186 -6.993 1.317
-7.789 -0.481 -10.585
-3.588 -8.278 -3.744
-10.033 0.510 8.486
-11.126 -6.983 0.617
-12.478 -2.001 3.639
-7.446 -6.808 12.888
-6.243 -3.690 -1.547
-3.152 -5.387 -4.268
-5.586 4.568 1.711
-10.522 -4.134 0.196
-3.777 -3.708 -7.209
-8.219 -3.385 -7.177
-6.059 -1.606 -12.683
-5.827 -3.646 10.201
-10.186 4.009 -2.545
-10.958 2.071 2.480
-14.038 -6.868 0.207
-5.201 -7.804 -6.193
-6.809 2.555 -2.069
-7.351 -6.760 -9.951
-4.271 -4.097 6.866
-2.488 -1.555 -0.463
-8.927 3.750 -6.023
-13.006 3.167 -4.333
-2.885 -0.981 -4.862
-4.862 -6.952 10.233
-8.896 0.067 -0.922
-13.897 2.209 -0.864
-10.140 -3.940 9.130
-7.274 -4.971 1.775
-2.273 -7.113 1.718
-6.030 -0.964 -8.276
-3.164 -8.071 5.187
-11.308 2.048 -9.379
-13.285 -3.923 5.716
-7.243 -8.655 6.876
-11.899 -0.807 -6.012
-13.682 -3.349 1.317
-8.819 1.856 10.805
-10.969 2.900 7.046
-2.132 1.964 0.647
-9.361 -7.459 2.923
-10.343 -1.258 -9.347
-5.984 -8.913 3.399
-5.212 -6.975 -1.626
-10.111 -3.298 13.537
-7.951 -1.519 8.031
-10.584 -9.472 -0.857
-12.393 -1.196 8.063
-5.648 -0.770 0.658
-13.018 0.483 5.122
-9.927 -1.214 2.401
-8.724 1.904 -12.034
```